KLa2AuO5 | PBE-GGA | optimized geometry

Cell lengths 6.976, 6.976, 12.507 Å; angles 90.00, 90.00, 90.00 degrees
Space group I4/mcm (No. 140)
Symmetry-distinct sites (fractional):
K 0.000 0.000 0.250 (multiplicity 4)
La 0.178 0.322 0.000 (multiplicity 8)
Au 0.000 0.500 0.250 (multiplicity 4)
O 0.000 0.000 0.000 (multiplicity 4)
O 0.133 0.367 0.383 (multiplicity 16)

Output
Spin magnetization = 0.223 μB per atom
E_tot = -6.37 eV/atom